## i
Here is a relaxed Na2HgHAu crystal from Alexandria via LeMat-Bulk. Energies are from PBE-GGA.

Space-group type ... P4/mmm
Calculated volume ... 19.02 Å³/atom

Cell lengths 4.9303, 4.9303, 3.9122 Å; angles 90.00, 90.00, 90.00 degrees
Fractional coordinates of all 5 atoms:
H: 0.0000 0.0000 0.0000
Au: 0.0000 0.0000 0.5000
Na: 0.5000 0.0000 0.0000
Hg: 0.5000 0.5000 0.5000
Na: 0.0000 0.5000 0.0000



## ii
Here is a relaxed Na2HgHAu crystal from Alexandria via LeMat-Bulk. Energies are from PBE-GGA.

Space-group type ... P4/mmm
Calculated volume ... 18.71 Å³/atom

Cell lengths 4.5796, 4.5796, 4.4608 Å; angles 90.00, 90.00, 90.00 degrees
Fractional coordinates of all 5 atoms:
Na: 0.0000 0.5000 0.0000
H: 0.0000 0.0000 0.0000
Na: 0.5000 0.0000 0.0000
Hg: 0.0000 0.0000 0.5000
Au: 0.5000 0.5000 0.5000



Which structure loses on stability? ii does.